Here is an optimized crystal structure of Mg2RuSe from the Alexandria database. Energies are from PBE.

Cell and atoms, written as CIF:
```
data_Mg2RuSe
_chemical_formula_sum 'Mg2 Ru1 Se1'
_space_group_name_H-M_alt 'P m m m'
_space_group_IT_number 47
_space_group_name_Hall '-P 2 2'
_cell_length_a 3.410
_cell_length_b 3.433
_cell_length_c 5.799
_cell_angle_alpha 90.00
_cell_angle_beta 90.00
_cell_angle_gamma 90.00
loop_
_atom_site_label
_atom_site_type_symbol
_atom_site_fract_x
_atom_site_fract_y
_atom_site_fract_z
_atom_site_occupancy
Mg1 Mg 0.000 0.000 0.234 1
Ru1 Ru 0.500 0.500 0.000 1
Se1 Se 0.500 0.500 0.500 1
```

E_tot in eV/atom: -4.24
Density of states at the Fermi level in states/eV per atom: 1.005